VASP calculation (GGA+U) on a relaxed AcV2OsO8 crystal.

abc: 8.778 5.837 7.190
angles: 90.00 91.03 90.00
Space group C2/m (No. 12)
Inequivalent atoms, fractional coordinates:
Ac: 0.000 0.000 0.000 [2 per cell]
V: 0.137 0.500 0.281 [4 per cell]
Os: 0.000 0.000 0.500 [2 per cell]
O: 0.026 0.240 0.298 [8 per cell]
O: 0.212 0.500 0.061 [4 per cell]
O: 0.219 0.000 0.554 [4 per cell]

- electronic total energy (eV per atom) = -7.807